(1)
Computed, not measured: crystalline TaMnIr2Os at its relaxed geometry at the PBE-GGA level of DFT.

Results
**DOS at the Fermi energy**: 1.677 states/eV/atom
**Formation energy**: 1259 meV/atom

Cell: 4.4341 4.4341 4.3782 Å, 90.00 90.00 90.00°
Last column: nearest neighbours and their distance in Å.
Sites, in units of the cell vectors:
Ta  0.0000  0.0000  0.0000  8 Ir 3.12, 4 Os 3.14
Mn  0.5000  0.5000  0.5000  2 Os 2.19, 4 Ir 2.22
Ir  0.0000  0.5000  0.5000  2 Mn 2.22
Ir  0.5000  0.0000  0.5000  2 Mn 2.22
Os  0.5000  0.5000  0.0000  2 Mn 2.19

(2)
Computed, not measured: crystalline MnTlIr2Os at its relaxed geometry at the PBE-GGA level of DFT.

Results
**DOS at the Fermi energy**: 0.723 states/eV/atom
**Formation energy**: 1267 meV/atom

Cell: 4.7689 4.7689 4.9382 Å, 90.00 90.00 90.00°
Last column: nearest neighbours and their distance in Å.
Sites, in units of the cell vectors:
Mn  0.0000  0.0000  0.0000  2 Os 2.47
Tl  0.5000  0.5000  0.0000  4 Mn 3.37, 8 Ir 3.43
Ir  0.0000  0.5000  0.5000  2 Os 2.38
Ir  0.5000  0.0000  0.5000  2 Os 2.38
Os  0.0000  0.0000  0.5000  4 Ir 2.38, 2 Mn 2.47

(3)
Computed, not measured: crystalline MnVIrOs at its relaxed geometry at the PBE-GGA level of DFT.

Results
**DOS at the Fermi energy**: 0.581 states/eV/atom
**Formation energy**: -178 meV/atom

Cell: 4.2842 4.2842 4.2842 Å, 60.00 60.00 60.00°
Last column: nearest neighbours and their distance in Å.
Sites, in units of the cell vectors:
Mn  0.0000  0.0000  0.0000  4 Os 2.62, 4 Ir 2.62
V  0.5000  0.5000  0.5000  4 Os 2.62, 4 Ir 2.62
Ir  0.2500  0.2500  0.2500  4 Mn 2.62, 4 V 2.62
Os  0.7500  0.7500  0.7500  4 Mn 2.62, 4 V 2.62

(4)
Computed, not measured: crystalline MnZnIrOs2 at its relaxed geometry at the PBE-GGA level of DFT.

Results
**DOS at the Fermi energy**: 1.275 states/eV/atom
**Formation energy**: 1560 meV/atom

Cell: 4.3506 4.3506 4.3630 Å, 90.00 90.00 90.00°
Last column: nearest neighbours and their distance in Å.
Sites, in units of the cell vectors:
Mn  0.0000  0.0000  0.0000  4 Os 2.18, 2 Zn 2.18
Zn  0.0000  0.0000  0.5000  2 Mn 2.18
Ir  0.5000  0.5000  0.5000  4 Zn 3.08, 8 Os 3.08
Os  0.0000  0.5000  0.0000  2 Mn 2.18
Os  0.5000  0.0000  0.0000  2 Mn 2.18

(5)
Computed, not measured: crystalline MnP2Ir at its relaxed geometry at the PBE-GGA level of DFT.

Results
**DOS at the Fermi energy**: 0.966 states/eV/atom
**ΔE to the lowest computed polymorph**: 283 meV/atom
**Formation energy**: -62 meV/atom

Cell: 4.1342 4.1342 4.1342 Å, 60.00 60.00 60.00°
Last column: nearest neighbours and their distance in Å.
Sites, in units of the cell vectors:
Mn  0.0000  0.0000  0.0000  8 P 2.53
P  0.2500  0.2500  0.2500  4 Ir 2.53, 4 Mn 2.53
P  0.7500  0.7500  0.7500  4 Ir 2.53, 4 Mn 2.53
Ir  0.5000  0.5000  0.5000  8 P 2.53

(6)
Computed, not measured: crystalline MnP2Ir at its relaxed geometry at the PBE-GGA level of DFT.

Results
**DOS at the Fermi energy**: 0.568 states/eV/atom
**ΔE to the lowest computed polymorph**: 290 meV/atom
**Formation energy**: -55 meV/atom

Cell: 2.8087 2.8087 7.5659 Å, 90.00 90.00 90.00°
Last column: nearest neighbours and their distance in Å.
Sites, in units of the cell vectors:
Mn  0.0000  0.0000  0.0000  4 P 2.33
P  0.0000  0.0000  0.5508  4 Ir 2.44
P  0.5000  0.5000  0.1600  4 Mn 2.33
Ir  0.5000  0.5000  0.7391  4 P 2.44

(7)
Computed, not measured: crystalline MnP2Ir at its relaxed geometry at the PBE-GGA level of DFT.

Results
**DOS at the Fermi energy**: 0.705 states/eV/atom
**ΔE to the lowest computed polymorph**: 550 meV/atom
**Formation energy**: 204 meV/atom

Cell: 2.9180 2.9180 7.6238 Å, 90.00 90.00 122.04°
Last column: nearest neighbours and their distance in Å.
Sites, in units of the cell vectors:
Mn  0.0000  0.0000  0.0000  4 P 2.30
P  0.5000  0.5000  0.2379  2 Mn 2.30, 2 Ir 2.45
P  0.5000  0.5000  0.7621  2 Mn 2.30, 2 Ir 2.45
Ir  0.0000  0.0000  0.5000  4 P 2.45

(8)
Computed, not measured: crystalline Mn2PIr at its relaxed geometry at the PBE-GGA level of DFT.

Results
**DOS at the Fermi energy**: 0.670 states/eV/atom
**Formation energy**: -75 meV/atom

Cell: 2.8850 3.5685 5.0734 Å, 90.00 90.00 90.00°
Last column: nearest neighbours and their distance in Å.
Sites, in units of the cell vectors:
Mn  0.0000  0.0000  0.0000  2 P 2.43-2.65, 4 Mn 2.50
Mn  0.5000  0.5000  0.1944  4 Mn 2.50, 2 Ir 2.53-2.54, 4 P 2.71
P  0.0000  0.0000  0.4784  6 Mn 2.43-2.71, 4 Ir 2.54
Ir  0.5000  0.5000  0.6934  6 Mn 2.53-2.77, 4 P 2.54

(9)
Computed, not measured: crystalline Mn2PIr at its relaxed geometry at the PBE-GGA level of DFT.

Results
**DOS at the Fermi energy**: 0.645 states/eV/atom
**Formation energy**: -129 meV/atom

Cell: 4.4286 4.4286 2.8795 Å, 90.00 90.00 111.80°
Last column: nearest neighbours and their distance in Å.
Sites, in units of the cell vectors:
Mn  0.0000  0.5000  0.0000  2 Mn 2.48, 4 Ir 2.64, 4 P 2.64
Mn  0.5000  0.0000  0.0000  2 Mn 2.48, 4 Ir 2.64, 4 P 2.64
P  0.0000  0.0000  0.5000  2 Ir 2.48, 8 Mn 2.64
Ir  0.5000  0.5000  0.5000  2 P 2.48, 8 Mn 2.64

(10)
Computed, not measured: crystalline Mn2PIr at its relaxed geometry at the PBE-GGA level of DFT.

Results
**DOS at the Fermi energy**: 0.697 states/eV/atom
**Formation energy**: -139 meV/atom

Cell: 4.5873 4.5873 4.5873 Å, 132.45 132.45 69.52°
Last column: nearest neighbours and their distance in Å.
Sites, in units of the cell vectors:
Mn  0.0000  0.0000  0.0000  4 Ir 2.62, 4 Mn 2.64, 4 P 2.64
Mn  0.7500  0.2500  0.5000  4 P 2.62, 4 Mn 2.64, 4 Ir 2.64
P  0.2500  0.7500  0.5000  8 Mn 2.62-2.64, 4 Ir 2.64
Ir  0.5000  0.5000  0.0000  8 Mn 2.62-2.64, 4 P 2.64

(11)
Computed, not measured: crystalline MnP2Ir at its relaxed geometry at the PBE-GGA level of DFT.

Results
**DOS at the Fermi energy**: 0.780 states/eV/atom
**ΔE to the lowest computed polymorph**: 123 meV/atom
**Formation energy**: -223 meV/atom

Cell: 5.8663 5.8663 5.8663 Å, 150.99 146.78 44.68°
Last column: nearest neighbours and their distance in Å.
Sites, in units of the cell vectors:
Mn  0.0000  0.0000  0.0000  6 P 2.30-2.37
P  0.1625  0.6625  0.5000  2 Mn 2.30, 4 Ir 2.46
P  0.4252  0.4252  0.0000  4 Mn 2.37, 2 Ir 2.47
Ir  0.7586  0.2586  0.5000  6 P 2.46-2.47

(12)
Computed, not measured: crystalline MnPIr at its relaxed geometry at the PBE-GGA level of DFT.

Results
**DOS at the Fermi energy**: 0.893 states/eV/atom
**Formation energy**: -367 meV/atom

Cell: 3.8954 3.8954 3.8954 Å, 60.00 60.00 60.00°
Last column: nearest neighbours and their distance in Å.
Sites, in units of the cell vectors:
Mn  0.0000  0.0000  0.0000  4 P 2.39
P  0.2500  0.2500  0.2500  4 Ir 2.39, 4 Mn 2.39
Ir  0.5000  0.5000  0.5000  4 P 2.39

(13)
Computed, not measured: crystalline MnPIr at its relaxed geometry at the PBE-GGA level of DFT.

Results
**DOS at the Fermi energy**: 0.545 states/eV/atom
**Formation energy**: -118 meV/atom

Cell: 5.2947 5.2947 5.2947 Å, 148.88 148.88 44.59°
Last column: nearest neighbours and their distance in Å.
Sites, in units of the cell vectors:
Mn  0.0000  0.0000  0.0000  4 P 2.49
P  0.3491  0.3491  0.0000  4 Ir 2.48, 4 Mn 2.49
Ir  0.7010  0.7010  0.0000  4 P 2.48

(14)
Computed, not measured: crystalline Mn2PIr at its relaxed geometry at the PBE-GGA level of DFT.

Results
**DOS at the Fermi energy**: 1.169 states/eV/atom
**Formation energy**: -116 meV/atom

Cell: 7.9222 7.9222 7.9222 Å, 19.39 19.39 19.39°
Last column: nearest neighbours and their distance in Å.
Sites, in units of the cell vectors:
Mn  0.2425  0.2425  0.2425  3 P 2.35, 3 Ir 2.62
Mn  0.7575  0.7575  0.7575  3 P 2.35, 3 Ir 2.62
P  0.5000  0.5000  0.5000  6 Mn 2.35
Ir  0.0000  0.0000  0.0000  6 Mn 2.62, 6 Ir 2.67

(15)
Computed, not measured: crystalline MnPIr at its relaxed geometry at the PBE-GGA level of DFT.

Results
**DOS at the Fermi energy**: 0.792 states/eV/atom
**Formation energy**: -88 meV/atom

Cell: 2.7522 2.7522 5.7187 Å, 90.00 90.00 120.00°
Last column: nearest neighbours and their distance in Å.
Sites, in units of the cell vectors:
Mn  0.0000  0.0000  0.0000  3 P 2.28
P  0.6667  0.3333  0.2859  3 Mn 2.28, 3 Ir 2.52
Ir  0.3333  0.6667  0.6273  3 P 2.52, 3 Mn 2.66, 6 Ir 2.75